NaMgSnSb: optimized geometry, PBE-GGA.

The structure in POSCAR format:
```
NaMgSnSb
1.0
-3.0666 0.7422 4.1894
1.4374 -1.9012 4.6717
1.5121 3.2715 3.8100
Sb Mg Sn Na
1 1 1 1
Cartesian
-0.0878 1.5844 9.5033
0.0000 0.0000 0.0000
-0.0293 0.5281 3.1678
-0.0586 1.0563 6.3355
```

E_form (uncorrected)	-152	meV per atom
symmetry	No. 216
calculated density	4.7	g/cm3
spin magnetization	0.0	μB per formula unit

=====

RePt5: optimized geometry, PBE-GGA.

The structure in POSCAR format:
```
RePt5
1.0
-1.7793 4.4496 -0.4098
-2.9751 -3.7379 0.5568
0.2191 0.5121 4.6086
Pt Re
5 1
Cartesian
-0.0164 0.0411 -0.0038
-2.1340 1.7139 -0.0890
-2.6040 -1.0432 0.2397
-0.8822 -0.9899 2.4899
-3.0601 0.7305 2.4022
-0.4836 1.7392 2.1677
```

energy of formation	-0.0266	eV per atom
symmetry	No. 189
calculated density	20.7	g/cm3
spin magnetization	0.0	μB per formula unit
energy above the lowest structure with this stoichiometry	70	meV/atom

=====

KSnB: optimized geometry, PBE-GGA.

The structure in POSCAR format:
```
KSnB
1.0
7.7119 0.0000 -0.0291
3.1584 7.0215 -1.4899
-3.1584 7.0215 1.4899
K B Sn
2 2 2
Cartesian
2.0606 9.1829 -0.0634
2.0606 4.8602 -0.0634
4.1409 7.0215 -0.1046
-2.8875 7.0215 1.3631
6.1668 8.5408 -0.2002
6.1668 5.5023 -0.2002
```

energy of formation	0.1317	eV per atom
symmetry	No. 8
calculated density	3.5	g/cm3
spin magnetization	0.0	μB per formula unit

=====

ZrTiS: optimized geometry, PBE-GGA.

The structure in POSCAR format:
```
ZrTiS
1.0
3.3809 0.0000 0.0000
-1.6904 4.5358 -1.0093
0.0000 0.1111 6.8997
Zr Ti S
2 2 2
Cartesian
1.6904 3.5386 3.8509
0.0000 1.1084 2.0395
1.6904 1.2952 6.3666
0.0000 3.3518 -0.4762
1.6904 3.0177 1.2958
0.0000 1.6293 4.5947
```

E_form (uncorrected)	-993	meV per atom
symmetry	No. 12
calculated density	5.4	g/cm3
spin magnetization	0.0	μB per formula unit
energy above the lowest structure with this stoichiometry	0	meV/atom

=====

HfMg2Ir3: optimized geometry, PBE-GGA.

The structure in POSCAR format:
```
HfMg2Ir3
1.0
4.5077 0.0000 0.0177
2.2538 6.7476 0.0089
-0.0247 0.0000 6.2803
Hf Mg Ir
2 4 6
Cartesian
2.2538 2.1880 0.0089
4.5077 4.5596 0.0177
0.0000 0.0000 0.0000
-0.0123 0.0000 3.1402
2.2415 2.2606 3.1490
4.4953 4.4870 3.1579
4.4892 2.2599 4.7188
2.2475 0.0000 1.6160
2.2476 4.4877 1.5881
4.5015 2.2599 1.5969
2.2353 4.4877 4.7099
2.2354 0.0000 4.6821
```

energy of formation	-0.6912	eV per atom
symmetry	No. 65
calculated density	14.0	g/cm3
spin magnetization	0.0	μB per formula unit

=====

BaThSi2Se8: optimized geometry, PBE-GGA.

The structure in POSCAR format:
```
BaThSi2Se8
1.0
-2.8183 3.5537 4.5491
-0.6073 -6.3945 0.0835
8.0830 -0.6952 5.5507
Ba Th Si Se
1 1 2 8
Cartesian
0.0000 0.0000 0.0000
4.0415 -0.3476 2.7754
-0.1517 0.0717 4.3857
4.8090 -3.6077 5.7976
6.6751 -3.7682 7.0791
1.3152 -1.2791 3.2452
0.0492 -4.1878 4.7244
-2.0178 0.2322 3.1042
4.6082 0.6517 5.4589
3.3422 -2.2569 6.9381
2.6434 0.8698 8.3473
2.0140 -4.4059 1.8359
```

E_form (uncorrected)	-824	meV per atom
symmetry	No. 147
calculated density	5.0	g/cm3
spin magnetization	0.0	μB per formula unit